No. 1
{"formula": "OsWSe2", "functional": "SCAN", "state": "single point on PBEsol structure", "lattice_angstrom": [[-1.3837, 2.7581, 0.3799], [-1.9087, -0.6309, -2.3716], [-4.0415, -2.5698, 3.9362]], "species": ["Se", "Se", "W", "Os"], "fractional_positions": [[0.0000, 0.0000, 0.2444], [0.0000, 0.0000, 0.7556], [0.5000, 0.5000, 0.0000], [0.5000, 0.5000, 0.5000]], "dft_energy_ev_per_atom": -44.65, "magmom_total_mub_per_atom": 0.000, "raw_formation_energy_ev_per_atom": 0.776}

No. 2
{"formula": "Os2WSe", "functional": "SCAN", "state": "single point on PBEsol structure", "lattice_angstrom": [[3.9695, 0.0000, 0.0000], [0.0000, 3.9695, 0.0000], [-1.9848, -1.9848, 3.7936]], "species": ["Os", "Os", "W", "Se"], "fractional_positions": [[0.7500, 0.2500, 0.5000], [0.2500, 0.7500, 0.5000], [0.0000, 0.0000, 0.0000], [0.5000, 0.5000, 0.0000]], "dft_energy_ev_per_atom": -57.56, "magmom_total_mub_per_atom": 0.000, "raw_formation_energy_ev_per_atom": 0.825}

No. 3
{"formula": "Os2WSe", "functional": "SCAN", "state": "single point on PBEsol structure", "lattice_angstrom": [[-1.6435, -0.4322, -2.3589], [-3.3389, -1.2833, 2.5614], [-0.5315, 4.8460, 1.2740]], "species": ["Os", "Os", "Se", "W"], "fractional_positions": [[0.7180, 0.2140, 0.4360], [0.9910, 0.0302, 0.9820], [0.5070, 0.4961, 0.0140], [0.2840, 0.7597, 0.5681]], "dft_energy_ev_per_atom": -57.88, "magmom_total_mub_per_atom": 0.000, "raw_formation_energy_ev_per_atom": 0.497}

No. 4
{"formula": "YOs2Se", "functional": "SCAN", "state": "single point on PBEsol structure", "lattice_angstrom": [[-2.3648, 0.2076, -1.9124], [-2.3265, -3.0191, 2.5492], [-1.8065, 3.6090, 2.6256]], "species": ["Y", "Os", "Os", "Se"], "fractional_positions": [[0.0000, 0.5000, 0.5000], [0.5000, 0.5000, 0.0000], [0.0000, 0.0000, 0.0000], [0.5000, 0.0000, 0.5000]], "dft_energy_ev_per_atom": -47.71, "magmom_total_mub_per_atom": 0.207, "raw_formation_energy_ev_per_atom": 0.212}

No. 5
{"formula": "YOsSe2", "functional": "SCAN", "state": "single point on PBEsol structure", "lattice_angstrom": [[-1.9170, -2.6894, -0.2891], [0.2612, -0.6741, 4.5385], [-3.7405, 2.6015, 0.6017]], "species": ["Se", "Se", "Os", "Y"], "fractional_positions": [[0.0000, 0.5000, 0.0000], [0.0000, 0.0000, 0.5000], [0.5000, 0.0000, 0.0000], [0.5000, 0.5000, 0.5000]], "dft_energy_ev_per_atom": -35.42, "magmom_total_mub_per_atom": 0.000, "raw_formation_energy_ev_per_atom": -0.449}

No. 6
{"formula": "YOsSe2", "functional": "SCAN", "state": "single point on PBEsol structure", "lattice_angstrom": [[3.3065, 0.0000, 0.0000], [0.0000, 3.3065, 0.0000], [0.0000, 0.0000, 7.6779]], "species": ["Y", "Os", "Se", "Se"], "fractional_positions": [[0.0000, 0.0000, 0.4938], [0.5000, 0.5000, 0.7873], [0.0000, 0.0000, 0.9192], [0.5000, 0.5000, 0.2997]], "dft_energy_ev_per_atom": -35.43, "magmom_total_mub_per_atom": 0.001, "raw_formation_energy_ev_per_atom": -0.455}

No. 7
{"formula": "Y2OsSe", "functional": "SCAN", "state": "single point on PBEsol structure", "lattice_angstrom": [[4.0096, 0.0000, 0.0000], [0.0000, 4.0096, 0.0000], [0.0000, 0.0000, 5.7096]], "species": ["Se", "Y", "Y", "Os"], "fractional_positions": [[0.5000, 0.5000, 0.8511], [0.0000, 0.0000, 0.9209], [0.5000, 0.5000, 0.3511], [0.0000, 0.0000, 0.3769]], "dft_energy_ev_per_atom": -37.77, "magmom_total_mub_per_atom": 0.001, "raw_formation_energy_ev_per_atom": -0.855}

No. 8
{"formula": "YOs2Se", "functional": "SCAN", "state": "single point on PBEsol structure", "lattice_angstrom": [[-2.0143, 0.7661, 2.0460], [-2.6151, -1.0393, -2.1855], [1.2988, -6.6656, 1.6156]], "species": ["Os", "Os", "Y", "Se"], "fractional_positions": [[0.6688, 0.5000, 0.2125], [0.0874, 0.0000, 0.0497], [0.4354, 0.5000, 0.7461], [0.8084, 0.0000, 0.4917]], "dft_energy_ev_per_atom": -47.97, "magmom_total_mub_per_atom": 0.000, "raw_formation_energy_ev_per_atom": -0.049}

No. 9
{"formula": "YOs2Se", "functional": "SCAN", "state": "single point on PBEsol structure", "lattice_angstrom": [[2.9166, 0.0000, 0.0000], [1.4583, 2.5258, 0.0000], [1.4583, 0.8419, 9.1529]], "species": ["Os", "Os", "Y", "Se"], "fractional_positions": [[0.0100, 0.0100, 0.9701], [0.7500, 0.7500, 0.7499], [0.2493, 0.2493, 0.2521], [0.4907, 0.4907, 0.5280]], "dft_energy_ev_per_atom": -47.41, "magmom_total_mub_per_atom": 0.000, "raw_formation_energy_ev_per_atom": 0.513}

No. 10
{"formula": "YOsSe2", "functional": "SCAN", "state": "single point on PBEsol structure", "lattice_angstrom": [[-0.1508, -3.2948, -3.4233], [3.0445, 0.2178, -3.6443], [3.4939, -3.2017, -0.3729]], "species": ["Se", "Se", "Os", "Y"], "fractional_positions": [[0.7500, 0.7500, 0.7500], [0.0000, 0.0000, 0.0000], [0.5000, 0.5000, 0.5000], [0.2500, 0.2500, 0.2500]], "dft_energy_ev_per_atom": -34.71, "magmom_total_mub_per_atom": 0.275, "raw_formation_energy_ev_per_atom": 0.257}

No. 11
{"formula": "YOs2Se", "functional": "SCAN", "state": "single point on PBEsol structure", "lattice_angstrom": [[-2.1984, -0.6584, 2.0205], [4.4962, -0.4029, 2.4474], [-1.4822, 4.8844, -0.0211]], "species": ["Se", "Os", "Os", "Y"], "fractional_positions": [[0.4687, 0.9374, 0.4469], [0.7506, 0.5012, 0.2048], [0.0266, 0.0532, 0.1180], [0.2541, 0.5082, 0.7303]], "dft_energy_ev_per_atom": -47.93, "magmom_total_mub_per_atom": 0.000, "raw_formation_energy_ev_per_atom": -0.006}

No. 12
{"formula": "Y2OsSe", "functional": "SCAN", "state": "single point on PBEsol structure", "lattice_angstrom": [[3.5910, 0.0000, 0.0000], [0.0000, 4.5025, 0.0000], [-1.7955, 0.0000, 5.2075]], "species": ["Se", "Y", "Y", "Os"], "fractional_positions": [[0.7123, 0.5000, 0.4245], [0.2673, 0.0000, 0.5346], [0.9887, 0.5000, 0.9774], [0.5317, 0.0000, 0.0635]], "dft_energy_ev_per_atom": -37.87, "magmom_total_mub_per_atom": 0.000, "raw_formation_energy_ev_per_atom": -0.961}